CsErU | GGA-PBE | relaxed

Lattice parameters (Å, degrees): 5.8025 5.8025 5.8025 60.00 60.00 60.00
Last column: nearest neighbours and their distance in Å.
Fractional positions:
U: 0.0000 0.0000 0.0000  4 Er 3.55, 4 Cs 3.55
Cs: 0.2500 0.2500 0.2500  4 U 3.55
Er: 0.7500 0.7500 0.7500  4 U 3.55

Properties
Mass density (Mg/m³): 6.47
Energy above the lowest structure with this stoichiometry (eV/atom): 0.0000
Raw total energy (eV/f.u.): -10.9
Spin magnetization (μB/cell): 6.65